Computed, not measured: a relaxed structure of K2GeOs at the GGA-PBE level of DFT. Values from VASP.

Output
Crystal system: cubic
Mass density, g/cm3: 4.974
Excess energy over the best structure of this formula in the dataset, eV/atom: 0.890
Space group: Fm-3m (225)
Total magnetization, μB/f.u.: 1.54
Energy, eV/atom: -2.9387
DFT formation energy, eV per atom: 1.572

Cell and atoms, written as Quantum ESPRESSO input:
```
&SYSTEM
  ibrav = 0, nat = 4, ntyp = 3
/
ATOMIC_SPECIES
Ge 72.64 Ge.upf
Os 190.23 Os.upf
K 39.10 K.upf
CELL_PARAMETERS angstrom
2.8803 0.1689 4.6123
2.8620 4.4524 1.2583
-1.6079 3.2000 4.0955
ATOMIC_POSITIONS crystal
Ge 0.0000 0.0000 0.0000
Os 0.5000 0.5000 0.5000
K 0.2500 0.2500 0.2500
K 0.7500 0.7500 0.7500
```